Crystalline NaSr2ErBr8 at its relaxed geometry, computed with GGA-PBE.

a b c (Å): 6.8653 9.1485 7.0339
angles (deg): 90.00 90.59 90.00
Sites, in units of the cell vectors:
Na  0.0000  0.0000  0.0000
Sr  0.5000  0.2456  0.5000
Sr  0.5000  0.7544  0.5000
Er  0.0000  0.5000  0.0000
Br  0.2128  0.2755  0.8347
Br  0.2128  0.7245  0.8347
Br  0.2599  0.5000  0.3152
Br  0.2739  0.0000  0.3210
Br  0.7261  0.0000  0.6790
Br  0.7401  0.5000  0.6848
Br  0.7872  0.2755  0.1653
Br  0.7872  0.7245  0.1653

Results
Formation energy (no corrections) (eV/atom): -1.9205
Magnetization (Bohr magnetons per cell): 0.0

Crystalline Ba3PaAl2O9 at its relaxed geometry, computed with GGA-PBE.

a b c (Å): 5.7866 5.7866 7.1706
angles (deg): 90.00 90.00 120.00
Sites, in units of the cell vectors:
Ba  0.0000  0.0000  0.0000
Ba  0.3333  0.6667  0.6859
Ba  0.6667  0.3333  0.3141
Pa  0.0000  0.0000  0.5000
Al  0.3333  0.6667  0.1578
Al  0.6667  0.3333  0.8422
O  0.0000  0.5000  0.0000
O  0.1752  0.3504  0.3193
O  0.1752  0.8248  0.3193
O  0.3504  0.1752  0.6807
O  0.5000  0.0000  0.0000
O  0.5000  0.5000  0.0000
O  0.6496  0.8248  0.3193
O  0.8248  0.1752  0.6807
O  0.8248  0.6496  0.6807

Results
Formation energy (no corrections) (eV/atom): -2.9301
Magnetization (Bohr magnetons per cell): 1.1

Crystalline KY2Mg at its relaxed geometry, computed with GGA-PBE.

a b c (Å): 4.9782 4.9782 5.5562
angles (deg): 90.00 90.00 90.00
Sites, in units of the cell vectors:
K  0.0000  0.0000  0.0000
Y  0.0000  0.5000  0.5000
Y  0.5000  0.0000  0.5000
Mg  0.5000  0.5000  0.0000

Results
Total DFT energy (no corrections) (Ry/atom): -0.2544
Magnetization (Bohr magnetons per cell): 0.6

Crystalline Cs3KMo2S8 at its relaxed geometry, computed with GGA-PBE.

a b c (Å): 7.5983 7.5983 10.1642
angles (deg): 90.00 90.00 120.00
Sites, in units of the cell vectors:
Cs  0.0000  0.0000  0.0000
Cs  0.3333  0.6667  0.6571
Cs  0.6667  0.3333  0.3429
K  0.0000  0.0000  0.5000
Mo  0.3333  0.6667  0.2216
Mo  0.6667  0.3333  0.7784
S  0.1753  0.3506  0.2951
S  0.1753  0.8247  0.2951
S  0.3333  0.6667  0.0079
S  0.3506  0.1753  0.7049
S  0.6494  0.8247  0.2951
S  0.6667  0.3333  0.9921
S  0.8247  0.1753  0.7049
S  0.8247  0.6494  0.7049

Results
Formation energy (no corrections) (eV/atom): -0.9624
Magnetization (Bohr magnetons per cell): 0.0

Crystalline Pa2GaFe5Si2 at its relaxed geometry, computed with GGA-PBE.

a b c (Å): 9.4359 9.4359 3.2704
angles (deg): 90.00 90.00 90.00
Sites, in units of the cell vectors:
Pa  0.1791  0.3209  0.0000
Pa  0.3209  0.8209  0.0000
Pa  0.6791  0.1791  0.0000
Pa  0.8209  0.6791  0.0000
Ga  0.0000  0.0000  0.0000
Ga  0.5000  0.5000  0.0000
Fe  0.0000  0.5000  0.5000
Fe  0.0712  0.7845  0.5000
Fe  0.2155  0.0712  0.5000
Fe  0.2845  0.5712  0.5000
Fe  0.4288  0.2845  0.5000
Fe  0.5000  0.0000  0.5000
Fe  0.5712  0.7155  0.5000
Fe  0.7155  0.4288  0.5000
Fe  0.7845  0.9288  0.5000
Fe  0.9288  0.2155  0.5000
Si  0.1180  0.6180  0.0000
Si  0.3820  0.1180  0.0000
Si  0.6180  0.8820  0.0000
Si  0.8820  0.3820  0.0000

Results
Formation energy (no corrections) (eV/atom): -0.2988
Magnetization (Bohr magnetons per cell): 0.8

Crystalline Cs5Na3Sb3 at its relaxed geometry, computed with GGA-PBE.

a b c (Å): 11.8848 11.8848 5.9961
angles (deg): 90.00 90.00 120.00
Sites, in units of the cell vectors:
Cs  0.0000  0.2743  0.0000
Cs  0.2743  0.0000  0.0000
Cs  0.3333  0.6667  0.0000
Cs  0.6667  0.3333  0.0000
Cs  0.7257  0.7257  0.0000
Na  0.0000  0.6336  0.5000
Na  0.3664  0.3664  0.5000
Na  0.6336  0.0000  0.5000
Sb  0.0000  0.6345  0.0000
Sb  0.3655  0.3655  0.0000
Sb  0.6345  0.0000  0.0000

Results
Formation energy (no corrections) (eV/atom): -0.2922
Magnetization (Bohr magnetons per cell): 1.0

Crystalline Rb3PmF7 at its relaxed geometry, computed with GGA-PBE.

a b c (Å): 6.4490 6.4490 7.2950
angles (deg): 112.75 112.75 91.43
Sites, in units of the cell vectors:
Rb  0.0000  0.0000  0.0000
Rb  0.2811  0.7426  0.5233
Rb  0.7426  0.2811  0.5233
Pm  0.4633  0.4633  0.9894
F  0.1574  0.1574  0.7351
F  0.1659  0.6137  0.8119
F  0.3654  0.3654  0.2217
F  0.4781  0.8252  0.2473
F  0.6137  0.1659  0.8119
F  0.6336  0.6336  0.8424
F  0.8252  0.4781  0.2473

Results
Formation energy (no corrections) (eV/atom): -2.9850
Magnetization (Bohr magnetons per cell): 1.1

Crystalline DyCdCu5 at its relaxed geometry, computed with GGA-PBE.

a b c (Å): 8.2721 5.0263 10.4991
angles (deg): 90.00 90.00 90.00
Sites, in units of the cell vectors:
Dy  0.2474  0.2500  0.0643
Dy  0.2526  0.7500  0.5643
Dy  0.7474  0.2500  0.4357
Dy  0.7526  0.7500  0.9357
Cd  0.1353  0.7500  0.8639
Cd  0.3647  0.2500  0.3639
Cd  0.6353  0.7500  0.6361
Cd  0.8647  0.2500  0.1361
Cu  0.0528  0.7500  0.1069
Cu  0.0688  0.0021  0.3136
Cu  0.0688  0.4979  0.3136
Cu  0.0840  0.2500  0.5165
Cu  0.1858  0.2500  0.7412
Cu  0.3142  0.7500  0.2412
Cu  0.4160  0.7500  0.0165
Cu  0.4312  0.5021  0.8136
Cu  0.4312  0.9979  0.8136
Cu  0.4472  0.2500  0.6069
Cu  0.5528  0.7500  0.3931
Cu  0.5688  0.0021  0.1864
Cu  0.5688  0.4979  0.1864
Cu  0.5840  0.2500  0.9835
Cu  0.6858  0.2500  0.7588
Cu  0.8142  0.7500  0.2588
Cu  0.9160  0.7500  0.4835
Cu  0.9312  0.5021  0.6864
Cu  0.9312  0.9979  0.6864
Cu  0.9472  0.2500  0.8931

Results
Total DFT energy (no corrections) (Ry/atom): -0.2864
Magnetization (Bohr magnetons per cell): 0.0

Crystalline Ba2TbPrS4 at its relaxed geometry, computed with GGA-PBE.

a b c (Å): 7.2700 4.2001 7.5573
angles (deg): 90.00 108.70 90.00
Sites, in units of the cell vectors:
Ba  0.0000  0.0000  0.0000
Ba  0.5000  0.5000  0.0000
Tb  0.0000  0.5000  0.5000
Pr  0.5000  0.0000  0.5000
S  0.2303  0.0000  0.7138
S  0.2519  0.5000  0.2817
S  0.7481  0.5000  0.7183
S  0.7697  0.0000  0.2862

Results
Formation energy (no corrections) (eV/atom): -2.0132
Magnetization (Bohr magnetons per cell): 0.0

Crystalline LaMn2Ni at its relaxed geometry, computed with GGA-PBE.

a b c (Å): 5.3936 5.3936 5.3936
angles (deg): 137.17 137.17 62.18
Sites, in units of the cell vectors:
La  0.0000  0.0000  0.0000
Mn  0.2500  0.7500  0.5000
Mn  0.7500  0.2500  0.5000
Ni  0.5000  0.5000  0.0000

Results
Total DFT energy (no corrections) (Ry/atom): -0.5098
Magnetization (Bohr magnetons per cell): 7.2

Crystalline Sm3Hf at its relaxed geometry, computed with GGA-PBE.

a b c (Å): 6.6555 6.6555 6.6555
angles (deg): 149.43 64.07 125.19
Sites, in units of the cell vectors:
Sm  0.0000  0.0000  0.0000
Sm  0.4157  0.6544  0.7614
Sm  0.8930  0.6544  0.2386
Hf  0.4845  0.9845  0.5000

Results
Distance to the lowest polymorph of the same formula (eV/atom): 0.005
Magnetization (Bohr magnetons per cell): 0.0

Crystalline Sm2GaGePb at its relaxed geometry, computed with GGA-PBE.

a b c (Å): 6.5325 4.4243 8.8332
angles (deg): 90.00 90.87 90.00
Sites, in units of the cell vectors:
Sm  0.2378  0.2500  0.4657
Sm  0.2483  0.2500  0.0320
Sm  0.7517  0.7500  0.9680
Sm  0.7622  0.7500  0.5343
Ga  0.4455  0.7500  0.2546
Ga  0.5545  0.2500  0.7454
Ge  0.0632  0.7500  0.2439
Ge  0.9368  0.2500  0.7561
Pb  0.2702  0.7500  0.7472
Pb  0.7298  0.2500  0.2528

Results
Total DFT energy (no corrections) (Ry/atom): -0.3490
Magnetization (Bohr magnetons per cell): 0.0

Crystalline CaCrOsAu2 at its relaxed geometry, computed with GGA-PBE.

a b c (Å): 5.0982 5.0982 5.1577
angles (deg): 90.00 90.00 90.00
Sites, in units of the cell vectors:
Ca  0.0000  0.0000  0.0000
Cr  0.5000  0.5000  0.0000
Os  0.0000  0.0000  0.5000
Au  0.0000  0.5000  0.5000
Au  0.5000  0.0000  0.5000

Results
Total DFT energy (no corrections) (Ry/atom): -0.3546
Magnetization (Bohr magnetons per cell): 4.1

Crystalline Ba2GeAsIr at its relaxed geometry, computed with GGA-PBE.

a b c (Å): 4.4460 4.4460 16.0611
angles (deg): 90.00 90.00 90.00
Sites, in units of the cell vectors:
Ba  0.2500  0.2500  0.0933
Ba  0.2500  0.2500  0.6739
Ba  0.7500  0.7500  0.3261
Ba  0.7500  0.7500  0.9067
Ge  0.2500  0.2500  0.4235
Ge  0.7500  0.7500  0.5765
As  0.2500  0.2500  0.8709
As  0.7500  0.7500  0.1291
Ir  0.2500  0.7500  0.5000
Ir  0.7500  0.2500  0.5000

Results
Total DFT energy (no corrections) (Ry/atom): -0.3761
Magnetization (Bohr magnetons per cell): 0.0

Crystalline Rb3Li2S2 at its relaxed geometry, computed with GGA-PBE.

a b c (Å): 8.0737 8.1744 13.9556
angles (deg): 90.00 90.00 90.00
Sites, in units of the cell vectors:
Rb  0.0878  0.1645  0.2500
Rb  0.0878  0.3355  0.7500
Rb  0.4108  0.6810  0.6244
Rb  0.4108  0.6810  0.8756
Rb  0.4108  0.8190  0.1244
Rb  0.4108  0.8190  0.3756
Rb  0.5891  0.1810  0.6244
Rb  0.5891  0.1810  0.8756
Rb  0.5891  0.3190  0.1244
Rb  0.5891  0.3190  0.3756
Rb  0.9122  0.6645  0.2500
Rb  0.9122  0.8355  0.7500
Li  0.1293  0.0236  0.5718
Li  0.1293  0.0236  0.9282
Li  0.1293  0.4764  0.0718
Li  0.1293  0.4764  0.4282
Li  0.8707  0.5236  0.5718
Li  0.8707  0.5236  0.9282
Li  0.8707  0.9764  0.0718
Li  0.8707  0.9764  0.4282
S  0.0430  0.7500  0.0000
S  0.0430  0.7500  0.5000
S  0.2728  0.9999  0.7500
S  0.2728  0.5001  0.2500
S  0.7272  0.0001  0.2500
S  0.7272  0.4999  0.7500
S  0.9570  0.2500  0.0000
S  0.9570  0.2500  0.5000

Results
Formation energy (no corrections) (eV/atom): -0.8216
Magnetization (Bohr magnetons per cell): 0.0

Crystalline LiHoU2P4 at its relaxed geometry, computed with GGA-PBE.

a b c (Å): 6.7962 3.9602 6.8325
angles (deg): 90.00 109.61 90.00
Sites, in units of the cell vectors:
Li  0.0000  0.0000  0.0000
Ho  0.0000  0.5000  0.5000
U  0.5000  0.0000  0.5000
U  0.5000  0.5000  0.0000
P  0.2558  0.0000  0.7525
P  0.2634  0.5000  0.2558
P  0.7366  0.5000  0.7442
P  0.7442  0.0000  0.2475

Results
Total DFT energy (no corrections) (Ry/atom): -0.5357
Magnetization (Bohr magnetons per cell): 3.8

Crystalline BaNi2Pt2 at its relaxed geometry, computed with GGA-PBE.

a b c (Å): 5.9806 5.9806 5.9806
angles (deg): 137.58 137.58 61.55
Sites, in units of the cell vectors:
Ba  0.0000  0.0000  0.0000
Ni  0.3822  0.3822  0.0000
Ni  0.6178  0.6178  0.0000
Pt  0.2500  0.7500  0.5000
Pt  0.7500  0.2500  0.5000

Results
Distance to the lowest polymorph of the same formula (eV/atom): 0.058
Magnetization (Bohr magnetons per cell): 1.5

Crystalline CaTa2Ni at its relaxed geometry, computed with GGA-PBE.

a b c (Å): 2.8093 4.8300 5.4879
angles (deg): 90.00 90.00 90.00
Sites, in units of the cell vectors:
Ca  0.0000  0.0000  0.0000
Ta  0.5000  0.5000  0.2592
Ta  0.5000  0.5000  0.7408
Ni  0.0000  0.0000  0.5000

Results
Distance to the lowest polymorph of the same formula (eV/atom): 0.491
Magnetization (Bohr magnetons per cell): 0.0

Crystalline Co2TcIr at its relaxed geometry, computed with GGA-PBE.

a b c (Å): 2.6120 2.6120 8.6403
angles (deg): 90.00 90.00 115.80
Sites, in units of the cell vectors:
Co  0.0000  0.0000  0.2478
Co  0.0000  0.0000  0.7522
Tc  0.5000  0.5000  0.0000
Ir  0.5000  0.5000  0.5000

Results
Distance to the lowest polymorph of the same formula (eV/atom): 0.297
Magnetization (Bohr magnetons per cell): 4.0

Crystalline KZr2Rh at its relaxed geometry, computed with GGA-PBE.

a b c (Å): 5.0326 5.0326 5.0326
angles (deg): 60.00 60.00 60.00
Sites, in units of the cell vectors:
K  0.0000  0.0000  0.0000
Zr  0.5000  0.5000  0.5000
Zr  0.7500  0.7500  0.7500
Rh  0.2500  0.2500  0.2500

Results
Distance to the lowest polymorph of the same formula (eV/atom): 0.769
Magnetization (Bohr magnetons per cell): 2.5